## NaPd3F (GGA-PBE)

Data for a geometry-optimized NaPd3F structure.

Geometry as CIF:
```
data_NaPd3F
_chemical_formula_sum 'Na1 Pd3 F1'
_cell_length_a 4.472
_cell_length_b 4.472
_cell_length_c 4.472
_cell_angle_alpha 90.00
_cell_angle_beta 90.00
_cell_angle_gamma 90.00
_symmetry_space_group_name_H-M 'P m -3 m'
_symmetry_Int_Tables_number 221
_symmetry_space_group_name_Hall '-P 4 2 3'
loop_
_atom_site_label
_atom_site_type_symbol
_atom_site_fract_x
_atom_site_fract_y
_atom_site_fract_z
_atom_site_occupancy
Na1 Na 0.000 0.000 0.000 1
Pd1 Pd 0.000 0.500 0.500 1
F1 F 0.500 0.500 0.500 1
```

Computed properties:
Spin magnetization   0.6 μB/f.u.
Raw formation energy   0.5 eV/f.u.

=====

## Ba6Pd2O (GGA-PBE)

Data for a geometry-optimized Ba6Pd2O structure.

Geometry as CIF:
```
data_Ba6Pd2O
_chemical_formula_sum 'Ba12 Pd4 O2'
_cell_length_a 7.476
_cell_length_b 8.406
_cell_length_c 13.277
_cell_angle_alpha 90.00
_cell_angle_beta 123.72
_cell_angle_gamma 90.00
_symmetry_space_group_name_H-M 'P 1 21/c 1'
_symmetry_Int_Tables_number 14
_symmetry_space_group_name_Hall '-P 2ybc'
loop_
_atom_site_label
_atom_site_type_symbol
_atom_site_fract_x
_atom_site_fract_y
_atom_site_fract_z
_atom_site_occupancy
Ba1 Ba 0.098 0.041 0.234 1
Ba2 Ba 0.230 0.692 0.067 1
Ba3 Ba 0.367 0.161 0.066 1
Pd1 Pd 0.298 0.110 0.753 1
O1 O 0.000 0.000 0.000 1
```

Computed properties:
Spin magnetization   0.0 μB/f.u.
Raw formation energy   -7.0 eV/f.u.

=====

## Mg2FeH (GGA-PBE)

Data for a geometry-optimized Mg2FeH structure.

Geometry as CIF:
```
data_Mg2FeH
_chemical_formula_sum 'Mg8 Fe4 H4'
_cell_length_a 6.276
_cell_length_b 6.276
_cell_length_c 6.276
_cell_angle_alpha 90.00
_cell_angle_beta 90.00
_cell_angle_gamma 90.00
_symmetry_space_group_name_H-M 'F m -3 m'
_symmetry_Int_Tables_number 225
_symmetry_space_group_name_Hall '-F 4 2 3'
loop_
_atom_site_label
_atom_site_type_symbol
_atom_site_fract_x
_atom_site_fract_y
_atom_site_fract_z
_atom_site_occupancy
Mg1 Mg 0.250 0.250 0.250 1
Fe1 Fe 0.000 0.000 0.000 1
H1 H 0.000 0.000 0.500 1
```

Computed properties:
Spin magnetization   2.3 μB/f.u.
Total energy   -3.0455 eV/atom

=====

## Cs2Nb6PbCl18 (GGA-PBE)

Data for a geometry-optimized Cs2Nb6PbCl18 structure.

Geometry as CIF:
```
data_Cs2Nb6PbCl18
_chemical_formula_sum 'Cs6 Nb18 Pb3 Cl54'
_cell_length_a 9.7652
_cell_length_b 9.7652
_cell_length_c 26.7207
_cell_angle_alpha 90.00
_cell_angle_beta 90.00
_cell_angle_gamma 120.00
_symmetry_space_group_name_H-M 'R -3'
_symmetry_Int_Tables_number 148
_symmetry_space_group_name_Hall '-R 3'
loop_
_atom_site_label
_atom_site_type_symbol
_atom_site_fract_x
_atom_site_fract_y
_atom_site_fract_z
_atom_site_occupancy
Cs1 Cs 0.0000 0.0000 0.2244 1
Nb1 Nb 0.0375 0.1901 0.0449 1
Pb1 Pb 0.0000 0.0000 0.5000 1
Cl1 Cl 0.0162 0.2555 0.4365 1
Cl2 Cl 0.0438 0.2238 0.8940 1
Cl3 Cl 0.0649 0.2644 0.6662 1
```

Computed properties:
Spin magnetization   0.0 μB/f.u.
Raw formation energy   -37.8 eV/f.u.

=====

## NaSrLaTl (GGA-PBE)

Data for a geometry-optimized NaSrLaTl structure.

Geometry as CIF:
```
data_NaSrLaTl
_chemical_formula_sum 'Na4 Sr4 La4 Tl4'
_cell_length_a 8.180
_cell_length_b 8.180
_cell_length_c 8.180
_cell_angle_alpha 90.00
_cell_angle_beta 90.00
_cell_angle_gamma 90.00
_symmetry_space_group_name_H-M 'F -4 3 m'
_symmetry_Int_Tables_number 216
_symmetry_space_group_name_Hall 'F -4 2 3'
loop_
_atom_site_label
_atom_site_type_symbol
_atom_site_fract_x
_atom_site_fract_y
_atom_site_fract_z
_atom_site_occupancy
Na1 Na 0.000 0.000 0.000 1
Sr1 Sr 0.250 0.250 0.750 1
La1 La 0.250 0.250 0.250 1
Tl1 Tl 0.000 0.000 0.500 1
```

Computed properties:
Spin magnetization   0.0 μB/f.u.
ΔH_f (0 K)   -149.5 meV/atom

=====

## Zn2MoAs (GGA-PBE)

Data for a geometry-optimized Zn2MoAs structure.

Geometry as CIF:
```
data_Zn2MoAs
_chemical_formula_sum 'Zn2 Mo1 As1'
_cell_length_a 2.717
_cell_length_b 4.803
_cell_length_c 5.056
_cell_angle_alpha 90.00
_cell_angle_beta 104.87
_cell_angle_gamma 90.00
_symmetry_space_group_name_H-M 'P 1 2/m 1'
_symmetry_Int_Tables_number 10
_symmetry_space_group_name_Hall '-P 2y'
loop_
_atom_site_label
_atom_site_type_symbol
_atom_site_fract_x
_atom_site_fract_y
_atom_site_fract_z
_atom_site_occupancy
Zn1 Zn 0.040 0.000 0.263 1
Mo1 Mo 0.500 0.500 0.500 1
As1 As 0.000 0.500 0.000 1
```

Computed properties:
Spin magnetization   0.0 μB/f.u.
ΔH_f (0 K)   177.8 meV/atom